# 1
The following is a PBE calculation of Tl2Ga2Sb after structural relaxation, from the Alexandria database. Values from VASP.

## Properties
DFT total energy ... -2.805 eV per atom
Energy relative to the lowest polymorph listed for this composition ... 137 meV per atom
Formation energy without anion corrections ... 0.177 eV per atom
Total magnetic moment ... 0.0 Bohr magnetons per cell

```
&SYSTEM
  ibrav = 0, nat = 10, ntyp = 3
/
ATOMIC_SPECIES
Tl 204.38 Tl.upf
Sb 121.76 Sb.upf
Ga 69.72 Ga.upf
CELL_PARAMETERS angstrom
8.963 0.000 0.000
0.000 8.963 0.000
0.000 0.000 3.287
ATOMIC_POSITIONS angstrom
Tl 2.817 7.298 0.000
Tl 6.146 1.665 0.000
Tl 7.298 6.146 0.000
Tl 1.665 2.817 0.000
Sb 4.481 4.481 0.000
Sb 0.000 0.000 0.000
Ga 5.476 7.969 1.644
Ga 7.969 3.487 1.644
Ga 3.487 0.994 1.644
Ga 0.994 5.476 1.644
```

***

# 2
The following is a PBE calculation of TlGa3Sb after structural relaxation, from the Alexandria database. Values from VASP.

## Properties
DFT total energy ... -2.659 eV per atom
Energy relative to the lowest polymorph listed for this composition ... 0 meV per atom
Formation energy without anion corrections ... 0.455 eV per atom
Total magnetic moment ... 0.0 Bohr magnetons per cell

```
&SYSTEM
  ibrav = 0, nat = 5, ntyp = 3
/
ATOMIC_SPECIES
Ga 69.72 Ga.upf
Sb 121.76 Sb.upf
Tl 204.38 Tl.upf
CELL_PARAMETERS angstrom
5.490 0.000 0.000
0.000 5.490 0.000
0.000 0.000 5.490
ATOMIC_POSITIONS angstrom
Ga 2.745 0.000 0.000
Ga 0.000 2.745 0.000
Ga 0.000 0.000 2.745
Sb 0.000 0.000 0.000
Tl 2.745 2.745 2.745
```

***

# 3
The following is a PBE calculation of Tl2GaSb5 after structural relaxation, from the Alexandria database. Values from VASP.

## Properties
DFT total energy ... -3.416 eV per atom
Formation energy without anion corrections ... 0.130 eV per atom
Total magnetic moment ... 0.0 Bohr magnetons per cell

```
&SYSTEM
  ibrav = 0, nat = 8, ntyp = 3
/
ATOMIC_SPECIES
Sb 121.76 Sb.upf
Ga 69.72 Ga.upf
Tl 204.38 Tl.upf
CELL_PARAMETERS angstrom
-5.799 0.360 2.904
-2.924 -0.380 -5.789
4.225 -5.711 1.882
ATOMIC_POSITIONS angstrom
Sb 2.027 -5.410 1.129
Sb 0.580 -5.600 -1.734
Sb -4.443 -3.433 -1.180
Sb -2.287 -5.423 -0.298
Sb -0.841 -5.233 2.565
Ga -0.043 -1.795 0.139
Tl -1.519 -2.634 -2.704
Tl -2.957 -2.266 1.639
```

***

# 4
The following is a PBE calculation of TlGaSb3 after structural relaxation, from the Alexandria database. Values from VASP.

## Properties
DFT total energy ... -3.145 eV per atom
Energy relative to the lowest polymorph listed for this composition ... 0 meV per atom
Formation energy without anion corrections ... 0.407 eV per atom
Total magnetic moment ... 0.0 Bohr magnetons per cell

```
&SYSTEM
  ibrav = 0, nat = 5, ntyp = 3
/
ATOMIC_SPECIES
Tl 204.38 Tl.upf
Sb 121.76 Sb.upf
Ga 69.72 Ga.upf
CELL_PARAMETERS angstrom
5.419 0.000 0.000
0.000 5.419 0.000
0.000 0.000 5.419
ATOMIC_POSITIONS angstrom
Tl 2.710 2.710 2.710
Sb 0.000 2.710 0.000
Sb 0.000 0.000 2.710
Sb 2.710 0.000 0.000
Ga 0.000 0.000 0.000
```

***

# 5
The following is a PBE calculation of TlGa2Sb2 after structural relaxation, from the Alexandria database. Values from VASP.

## Properties
DFT total energy ... -3.269 eV per atom
Energy relative to the lowest polymorph listed for this composition ... 82 meV per atom
Formation energy without anion corrections ... 0.064 eV per atom
Total magnetic moment ... 0.0 Bohr magnetons per cell

```
&SYSTEM
  ibrav = 0, nat = 10, ntyp = 3
/
ATOMIC_SPECIES
Sb 121.76 Sb.upf
Tl 204.38 Tl.upf
Ga 69.72 Ga.upf
CELL_PARAMETERS angstrom
-7.480 -0.130 -4.619
4.487 -2.298 -7.203
-0.422 -3.252 0.775
ATOMIC_POSITIONS angstrom
Sb 0.487 -0.831 -3.222
Sb 1.187 -2.007 -7.777
Sb -4.179 -0.421 -4.045
Sb -3.479 -1.597 -8.599
Tl -1.496 -1.214 -5.911
Tl 0.000 0.000 0.000
Ga 1.592 -3.133 -4.955
Ga -5.007 -2.547 -6.092
Ga -2.189 -2.010 -2.303
Ga -1.226 -3.670 -8.744
```

***

# 6
The following is a PBE calculation of Tl2GaSb after structural relaxation, from the Alexandria database. Values from VASP.

## Properties
DFT total energy ... -2.704 eV per atom
Energy relative to the lowest polymorph listed for this composition ... 199 meV per atom
Formation energy without anion corrections ... 0.266 eV per atom
Total magnetic moment ... 0.0 Bohr magnetons per cell

```
&SYSTEM
  ibrav = 0, nat = 8, ntyp = 3
/
ATOMIC_SPECIES
Ga 69.72 Ga.upf
Tl 204.38 Tl.upf
Sb 121.76 Sb.upf
CELL_PARAMETERS angstrom
-2.298 -4.595 -4.588
-4.506 -2.376 4.636
-7.574 0.572 -1.950
ATOMIC_POSITIONS angstrom
Ga -3.402 -3.486 0.024
Ga -7.741 -2.645 1.355
Tl -3.854 -2.948 -2.698
Tl -5.036 -1.995 1.759
Tl -11.557 -5.630 -1.499
Tl -8.308 -2.225 -1.366
Sb 0.000 0.000 0.000
Sb -6.637 -3.754 -3.257
```